Record 1
{"formula": "Nd3CoHg2", "functional": "GGA-PBE", "state": "relaxed", "lattice": [[5.908, 0.000, 0.000], [0.000, 7.702, 0.004], [-2.954, -1.925, 7.443]], "species": ["Nd", "Nd", "Nd", "Nd", "Nd", "Nd", "Co", "Co", "Hg", "Hg", "Hg", "Hg"], "fractional_positions": [[0.500, 0.250, 0.000], [0.500, 0.750, 0.000], [0.127, 0.063, 0.255], [0.872, 0.437, 0.745], [0.128, 0.563, 0.255], [0.873, 0.937, 0.745], [0.001, 0.750, 0.000], [0.999, 0.250, 0.000], [0.694, 0.597, 0.387], [0.693, 0.097, 0.387], [0.307, 0.903, 0.613], [0.306, 0.403, 0.613]], "ef_mev_per_atom": -227, "mass_density_g_cm3": 8.754}

Record 2
{"formula": "Pm3Dy2Cd", "functional": "GGA-PBE", "state": "relaxed", "lattice": [[-0.467, 2.075, -2.941], [1.069, -2.751, -2.111], [-13.536, -4.483, -1.012]], "species": ["Pm", "Pm", "Pm", "Dy", "Dy", "Cd"], "fractional_positions": [[0.000, 0.000, 0.000], [0.000, 0.000, 0.649], [0.000, 0.000, 0.351], [0.500, 0.500, 0.825], [0.500, 0.500, 0.175], [0.500, 0.500, 0.500]], "relative_energy_kj_per_mol_fu": 0, "ef_mev_per_atom": -89, "mass_density_g_cm3": 7.695}

Record 3
{"formula": "TlCd2BiPd", "functional": "GGA-PBE", "state": "relaxed", "lattice": [[-1.819, 2.508, 4.256], [2.014, -3.764, 3.079], [4.556, 2.719, 0.344]], "species": ["Tl", "Bi", "Pd", "Cd", "Cd"], "fractional_positions": [[0.500, 0.500, 0.500], [0.000, 0.000, 0.500], [0.000, 0.000, 0.000], [0.000, 0.500, 0.000], [0.500, 0.000, 0.000]], "ef_mev_per_atom": 8, "mass_density_g_cm3": 8.393}

Repeat the third record exactly.
{"formula": "TlCd2BiPd", "functional": "GGA-PBE", "state": "relaxed", "lattice": [[-1.819, 2.508, 4.256], [2.014, -3.764, 3.079], [4.556, 2.719, 0.344]], "species": ["Tl", "Bi", "Pd", "Cd", "Cd"], "fractional_positions": [[0.500, 0.500, 0.500], [0.000, 0.000, 0.500], [0.000, 0.000, 0.000], [0.000, 0.500, 0.000], [0.500, 0.000, 0.000]], "ef_mev_per_atom": 8, "mass_density_g_cm3": 8.393}